# TmCoSi2Ni, optimized geometry, DFT PBE-GGA
data_TmCoSi2Ni
_chemical_formula_sum 'Tm2 Co2 Si4 Ni2'
_cell_length_a 3.880
_cell_length_b 3.880
_cell_length_c 9.612
_cell_angle_alpha 90.00
_cell_angle_beta 90.00
_cell_angle_gamma 90.00
_space_group_name_H-M_alt 'I -4 m 2'
_space_group_IT_number 119
_space_group_name_Hall 'I -4 -2'
loop_
_atom_site_label
_atom_site_type_symbol
_atom_site_fract_x
_atom_site_fract_y
_atom_site_fract_z
_atom_site_occupancy
Tm1 Tm 0.000 0.000 0.000 1
Co1 Co 0.000 0.500 0.250 1
Si1 Si 0.000 0.000 0.375 1
Ni1 Ni 0.000 0.500 0.750 1
# Uncorrected energy ... -6.419 eV/atom
# V ... 72.4 Å³/f.u.
# Density ... 7.87 g cm⁻³